(1)
## TlHg2PdF8 (GGA-PBE)

Data for crystalline TlHg2PdF8 at its relaxed geometry.

Crystal system: triclinic
Calculated volume in Å³ per cell: 210.68
Raw formation energy in eV per formula unit: -17.1
Total DFT energy (no corrections) in eV/atom: -3.35
Theoretical density in g/cm³: 6.8

Cell: 4.9528 5.5547 7.7054 Å, 83.87 89.12 91.38°
Closest atoms and distances in Å follow each position.
Fractional coordinates of all 12 atoms:
F  0.5343  0.7310  0.5383  1 Hg 2.10
F  0.8781  0.2128  0.1750  1 Pd 1.98
F  0.1219  0.7872  0.8250  1 Pd 1.98
F  0.1049  0.7607  0.1999  1 Pd 2.01
F  0.6290  0.7544  0.0119  1 Hg 2.12, 1 Pd 2.26
F  0.3710  0.2456  0.9881  1 Hg 2.12, 1 Pd 2.26
F  0.4657  0.2690  0.4617  1 Hg 2.10
F  0.8951  0.2393  0.8001  1 Pd 2.01
Hg  0.5315  0.5184  0.2400  2 F 2.10-2.12
Hg  0.4685  0.4816  0.7600  2 F 2.10-2.12
Tl  0.0000  0.0000  0.5000  6 F 2.71-2.84
Pd  0.0000  0.0000  0.0000  4 F 1.98-2.01


(2)
## Rb3Tb3YSe8 (GGA-PBE)

Data for crystalline Rb3Tb3YSe8 at its relaxed geometry.

Crystal system: monoclinic
DOS at the Fermi energy in states/eV/f.u.: 9.46
Calculated volume in Å³ per cell: 497.25
Raw formation energy in eV per formula unit: -25.1
Total DFT energy (no corrections) in eV/atom: -5.08
Theoretical density in g/cm³: 4.9

Cell: 8.3731 8.3744 9.5110 Å, 116.13 89.99 120.01°
Closest atoms and distances in Å follow each position.
Fractional coordinates of all 15 atoms:
Se  0.7328  0.4651  0.6964  3 Tb 2.90-2.91
Se  0.2672  0.5349  0.3036  3 Tb 2.90-2.91
Se  0.2685  0.0371  0.3062  1 Y 2.89, 2 Tb 2.89
Se  0.2315  0.9629  0.6937  2 Tb 2.89, 1 Y 2.89
Se  0.7315  0.9629  0.6938  1 Y 2.89, 2 Tb 2.89
Se  0.7686  0.5373  0.3063  2 Tb 2.89, 1 Y 2.89
Se  0.2314  0.4627  0.6937  2 Tb 2.89, 1 Y 2.89
Se  0.7685  0.0371  0.3063  2 Tb 2.89, 1 Y 2.89
Tb  0.0000  0.5000  0.5000  6 Se 2.89-2.90
Tb  0.5000  0.0000  0.5000  6 Se 2.89-2.91
Tb  0.5000  0.5000  0.5000  6 Se 2.89-2.90
Y  0.0000  0.0000  0.5000  6 Se 2.89
Rb  0.0000  0.0000  0.0000  6 Se 3.46-3.48
Rb  0.5000  0.5000  0.0000  6 Se 3.47-3.48
Rb  0.0000  0.5000  0.0000  6 Se 3.47-3.48


(3)
## LiSm2Sn (GGA-PBE)

Data for crystalline LiSm2Sn at its relaxed geometry.

E above lowest polymorph in eV per atom: 0.018
Crystal system: monoclinic
Energy of formation from the pure elements in eV/atom: -0.42
DOS at the Fermi energy in states/eV/f.u.: 3.25
Calculated volume in Å³ per cell: 220.31
Total DFT energy (no corrections) in eV/atom: -4.26
Theoretical density in g/cm³: 6.4

Cell: 4.7354 6.5150 7.4687 Å, 107.03 90.00 90.00°
Closest atoms and distances in Å follow each position.
Fractional coordinates of all 8 atoms:
Sn  0.7500  0.6231  0.3038  3 Li 2.83-3.13
Sn  0.2500  0.3769  0.6962  3 Li 2.83-3.13
Sm  0.2500  0.8579  0.5993  3 Li 3.10-3.34, 4 Sn 3.24-3.42
Sm  0.2500  0.7787  0.0714  3 Sn 3.23-3.27, 3 Li 3.40-3.45
Sm  0.7500  0.1421  0.4007  3 Li 3.10-3.34, 4 Sn 3.24-3.42
Sm  0.7500  0.2213  0.9286  3 Sn 3.23-3.27, 3 Li 3.40-3.45
Li  0.7500  0.6229  0.7228  3 Sn 2.83-3.13, 2 Sm 3.10
Li  0.2500  0.3771  0.2772  3 Sn 2.83-3.13, 2 Sm 3.10


(4)
## K2HfF (GGA-PBE)

Data for crystalline K2HfF at its relaxed geometry.

E above lowest polymorph in eV per atom: 0.000
Crystal system: tetragonal
DOS at the Fermi energy in states/eV/f.u.: 4.94
Calculated volume in Å³ per cell: 293.54
Raw formation energy in eV per formula unit: -0.6
Total DFT energy (no corrections) in eV/atom: -3.65
Theoretical density in g/cm³: 3.1

Cell: 7.7644 7.7644 7.3384 Å, 58.06 58.06 90.00°
Closest atoms and distances in Å follow each position.
Fractional coordinates of all 8 atoms:
Hf  0.7500  0.2500  0.5000  8 K 3.80-4.22
Hf  0.0000  0.0000  0.0000  8 K 3.80-4.22
K  0.4844  0.1250  0.2500  2 F 2.44
K  0.3750  0.5156  0.7500  2 F 2.44
K  0.8750  0.7344  0.7500  2 F 2.44
K  0.2656  0.6250  0.2500  2 F 2.44
F  0.5000  0.5000  0.0000  4 K 2.44
F  0.2500  0.7500  0.5000  4 K 2.44


(5)
## VZnOs3 (GGA-PBE)

Data for crystalline VZnOs3 at its relaxed geometry.

E above lowest polymorph in eV per atom: 0.262
Crystal system: cubic
Energy of formation from the pure elements in eV/atom: 1.93
DOS at the Fermi energy in states/eV/f.u.: 4.53
Calculated volume in Å³ per cell: 86.42
Total DFT energy (no corrections) in eV/atom: -6.88
Theoretical density in g/cm³: 13.2

Cell: 4.4211 4.4211 4.4211 Å, 90.00 90.00 90.00°
Closest atoms and distances in Å follow each position.
Fractional coordinates of all 5 atoms:
Zn  0.0000  0.0000  0.0000  6 Os 2.21
V  0.5000  0.5000  0.5000  12 Os 3.13
Os  0.0000  0.5000  0.0000  2 Zn 2.21
Os  0.0000  0.0000  0.5000  2 Zn 2.21
Os  0.5000  0.0000  0.0000  2 Zn 2.21


calculated volume of number 3 (LiSm2Sn)?
220.31 Å³ per cell


Among the records above, which one has the lowest theoretical density?
K2HfF